First-principles (PBE with a Hubbard U) data for CaTiVO5 after structural relaxation, as listed in Alexandria.

Computed properties:
**VASP energy**: -7.934 eV/atom

```
data_CaTiVO5
_chemical_formula_sum 'Ca4 Ti4 V4 O20'
_cell_length_a 6.721
_cell_length_b 9.107
_cell_length_c 7.281
_cell_angle_alpha 90.00
_cell_angle_beta 113.08
_cell_angle_gamma 90.00
_symmetry_space_group_name_H-M 'C 1 2/c 1'
_symmetry_Int_Tables_number 15
_symmetry_space_group_name_Hall '-C 2yc'
loop_
_atom_site_label
_atom_site_type_symbol
_atom_site_fract_x
_atom_site_fract_y
_atom_site_fract_z
Ca1 Ca 0.000 0.180 0.250
Ti1 Ti 0.000 0.500 0.000
V1 V 0.000 0.176 0.750
O1 O 0.000 0.436 0.250
O2 O 0.097 0.294 0.599
O3 O 0.186 0.048 0.920
```